The following is a DFT calculation (PBE) of a geometry-optimized Sc3AlO structure.

Structure (extended XYZ):
```
5
Lattice="3.064 0.000 0.000 0.000 3.046 7.271 0.000 -3.046 7.271" Properties=species:S:1:pos:R:3 pbc="T T T"
Sc 0.000 0.000 0.000
Sc 1.532 -1.562 4.932
Sc 1.532 1.562 4.932
Al 1.532 0.000 2.555
O 0.000 0.000 12.216
```

Its raw total energy is -6.16 eV/atom. As for the formation energy (no corrections): -618 meV/atom. The symmetry is No. 38.

The following is a DFT calculation (PBE) of a geometry-optimized Sr2LiRh2 structure.

Structure (extended XYZ):
```
10
Lattice="7.324 0.000 0.000 0.000 7.324 0.000 0.000 0.000 4.469" Properties=species:S:1:pos:R:3 pbc="T T T"
Sr 1.268 2.394 0.000
Sr 2.394 6.056 0.000
Sr 4.930 1.268 0.000
Sr 6.056 4.930 0.000
Li 0.000 0.000 2.235
Li 3.662 3.662 2.235
Rh 0.932 4.594 2.235
Rh 2.730 0.932 2.235
Rh 4.594 6.392 2.235
Rh 6.392 2.730 2.235
```

Its raw total energy is -4.10 eV/atom. Its energy above the most stable polymorph in this dataset is 0.1157 eV per atom. The symmetry is No. 127. The energy of formation from the pure elements is -0.1026 eV per atom.